# 1
Entry from the Alexandria database: Hg3HO after structural relaxation (GGA-PBEsol).

E_tot   -1.476 eV per atom
Total magnetization   0.8 μB per formula unit

Geometry as POSCAR:
```
Hg3HO
1.0
4.324 0.000 0.000
0.000 4.324 0.000
0.000 0.000 4.324
Hg H O
3 1 1
direct
0.000 0.500 0.000
0.000 0.000 0.500
0.500 0.000 0.000
0.000 0.000 0.000
0.500 0.500 0.500
```


# 2
Entry from the Alexandria database: Hg3H4S2O11 after structural relaxation (GGA-PBEsol).

E_tot   -5.062 eV per atom
Total magnetization   0.0 μB per formula unit

Geometry as POSCAR:
```
Hg3H4S2O11
1.0
5.669 -0.062 -0.013
-1.326 5.512 -0.013
-1.413 -1.774 14.497
O Hg H S
22 6 8 4
direct
0.608 0.632 0.172
0.574 0.253 0.970
0.426 0.747 0.030
0.064 0.633 0.659
0.950 0.606 0.862
0.142 0.130 0.431
0.858 0.870 0.569
0.747 0.426 0.530
0.130 0.142 0.931
0.936 0.367 0.341
0.253 0.574 0.470
0.394 0.050 0.638
0.367 0.936 0.841
0.050 0.394 0.138
0.633 0.064 0.159
0.368 0.392 0.328
0.632 0.608 0.672
0.174 0.826 0.250
0.392 0.368 0.828
0.826 0.174 0.750
0.870 0.858 0.069
0.606 0.950 0.362
0.500 0.000 0.500
0.697 0.820 0.845
0.303 0.180 0.155
0.820 0.697 0.345
0.000 0.500 0.000
0.180 0.303 0.655
0.888 0.284 0.148
0.284 0.888 0.648
0.855 0.336 0.790
0.112 0.716 0.852
0.716 0.112 0.352
0.145 0.664 0.210
0.664 0.145 0.710
0.336 0.855 0.290
0.369 0.187 0.895
0.631 0.813 0.105
0.813 0.631 0.605
0.187 0.369 0.395
```


# 3
Entry from the Alexandria database: HgH2SeO5 after structural relaxation (GGA-PBEsol).

E_tot   -4.846 eV per atom
Total magnetization   0.0 μB per formula unit

Geometry as POSCAR:
```
HgH2SeO5
1.0
-2.277 -7.150 -1.566
0.820 -1.920 7.573
-6.376 1.002 4.692
O H Hg Se
20 8 4 4
direct
0.718 0.389 0.995
0.904 0.230 0.543
0.511 0.868 0.277
0.194 0.951 0.001
0.306 0.451 0.501
0.694 0.549 0.499
0.782 0.889 0.495
0.489 0.132 0.723
0.218 0.111 0.505
0.989 0.368 0.777
0.806 0.049 0.999
0.011 0.632 0.223
0.096 0.770 0.457
0.404 0.270 0.957
0.596 0.730 0.043
0.015 0.232 0.158
0.515 0.268 0.342
0.985 0.768 0.842
0.282 0.611 0.005
0.485 0.732 0.658
0.931 0.297 0.623
0.022 0.185 0.519
0.069 0.703 0.377
0.978 0.815 0.481
0.431 0.203 0.877
0.522 0.315 0.981
0.478 0.685 0.019
0.569 0.797 0.123
0.268 0.052 0.244
0.732 0.948 0.756
0.768 0.448 0.256
0.232 0.552 0.744
0.117 0.749 0.017
0.617 0.751 0.483
0.383 0.249 0.517
0.883 0.251 0.983
```


# 4
Entry from the Alexandria database: SnHgH2Os after structural relaxation (GGA-PBEsol).

E_tot   -3.973 eV per atom
Total magnetization   0.0 μB per formula unit

Geometry as POSCAR:
```
SnHgH2Os
1.0
3.668 0.000 0.000
0.000 3.668 0.000
0.000 0.000 5.630
H Hg Sn Os
2 1 1 1
direct
0.500 0.000 0.000
0.000 0.500 0.000
0.000 0.000 0.000
0.500 0.500 0.500
0.000 0.000 0.500
```


# 5
Entry from the Alexandria database: HgP2H after structural relaxation (GGA-PBEsol).

E_tot   -2.859 eV per atom
Total magnetization   0.0 μB per formula unit

Geometry as POSCAR:
```
HgP2H
1.0
-0.360 4.364 -0.169
-3.604 1.962 1.537
0.193 2.359 3.688
H P Hg
1 2 1
direct
0.000 0.000 0.000
0.750 0.750 0.750
0.250 0.250 0.250
0.500 0.500 0.500
```


# 6
Entry from the Alexandria database: Hg3PH after structural relaxation (GGA-PBEsol).

E_tot   -1.510 eV per atom
Total magnetization   0.0 μB per formula unit

Geometry as POSCAR:
```
Hg3PH
1.0
-4.131 2.376 -1.776
-2.881 -2.492 3.370
0.704 3.743 3.370
Hg P H
3 1 1
direct
0.000 0.500 0.000
0.500 0.000 0.000
0.000 0.000 0.500
0.000 0.000 0.000
0.500 0.500 0.500
```


# 7
Entry from the Alexandria database: HgP2HS after structural relaxation (GGA-PBEsol).

E_tot   -2.227 eV per atom
Total magnetization   2.0 μB per formula unit

Geometry as POSCAR:
```
HgP2HS
1.0
-0.583 4.935 0.009
-2.012 -0.246 4.538
4.587 0.539 2.063
S P H Hg
1 2 1 1
direct
0.000 0.000 0.500
0.500 0.000 0.000
0.000 0.500 0.000
0.500 0.500 0.500
0.000 0.000 0.000
```


# 8
Entry from the Alexandria database: HgHPd3 after structural relaxation (GGA-PBEsol).

E_tot   -4.570 eV per atom
Total magnetization   0.0 μB per formula unit

Geometry as POSCAR:
```
HgHPd3
1.0
-3.806 1.285 0.151
-0.583 -1.286 -3.763
-1.155 -3.585 1.404
Hg Pd H
1 3 1
direct
0.500 0.500 0.500
0.000 0.000 0.500
0.500 0.000 0.000
0.000 0.500 0.000
0.000 0.000 0.000
```


# 9
Entry from the Alexandria database: HgH2Pd2 after structural relaxation (GGA-PBEsol).

E_tot   -3.969 eV per atom
Total magnetization   0.0 μB per formula unit

Geometry as POSCAR:
```
HgH2Pd2
1.0
3.252 0.000 0.000
0.000 3.252 0.000
-1.626 -1.626 5.190
Pd H Hg
2 2 1
direct
0.340 0.340 0.681
0.660 0.660 0.319
0.750 0.250 0.500
0.250 0.750 0.500
0.000 0.000 0.000
```


# 10
Entry from the Alexandria database: ScHgHPd2 after structural relaxation (GGA-PBEsol).

E_tot   -3.252 eV per atom
Total magnetization   0.0 μB per formula unit

Geometry as POSCAR:
```
ScHgHPd2
1.0
-0.064 1.845 -4.607
-4.017 -2.724 -1.035
-3.043 3.880 1.596
H Pd Hg Sc
1 2 1 1
direct
0.500 0.500 0.500
0.500 0.000 0.000
0.000 0.500 0.000
0.000 0.000 0.000
0.000 0.000 0.500
```


# 11
Entry from the Alexandria database: Hg3HPt after structural relaxation (GGA-PBEsol).

E_tot   -1.871 eV per atom
Total magnetization   1.0 μB per formula unit

Geometry as POSCAR:
```
Hg3HPt
1.0
-1.390 1.318 4.844
-5.011 -0.053 -1.424
-0.311 -5.039 1.282
Hg Pt H
3 1 1
direct
0.000 0.500 0.000
0.000 0.000 0.500
0.500 0.000 0.000
0.000 0.000 0.000
0.500 0.500 0.500
```


# 12
Entry from the Alexandria database: Hg2HPt after structural relaxation (GGA-PBEsol).

E_tot   -2.302 eV per atom
Total magnetization   0.6 μB per formula unit

Geometry as POSCAR:
```
Hg2HPt
1.0
4.522 0.000 0.000
2.261 3.916 0.000
2.261 1.305 3.692
Pt H Hg
1 1 2
direct
0.500 0.500 0.500
0.000 0.000 0.000
0.750 0.750 0.750
0.250 0.250 0.250
```


# 13
Entry from the Alexandria database: Rb3HgH after structural relaxation (GGA-PBEsol).

E_tot   -1.448 eV per atom
Total magnetization   0.0 μB per formula unit

Geometry as POSCAR:
```
Rb3HgH
1.0
-1.052 3.511 4.367
-5.419 0.492 -1.702
-1.425 -4.465 3.246
H Hg Rb
1 1 3
direct
0.000 0.000 0.000
0.500 0.500 0.500
0.000 0.500 0.000
0.500 0.000 0.000
0.000 0.000 0.500
```


# 14
Entry from the Alexandria database: RbHgH3 after structural relaxation (GGA-PBEsol).

E_tot   -2.265 eV per atom
Total magnetization   0.0 μB per formula unit

Geometry as POSCAR:
```
RbHgH3
1.0
-1.735 -3.102 2.032
3.692 -1.234 1.268
-0.348 2.369 3.320
Hg H Rb
1 3 1
direct
0.000 0.000 0.000
0.000 0.000 0.500
0.500 0.000 0.000
0.000 0.500 0.000
0.500 0.500 0.500
```


# 15
Entry from the Alexandria database: Rb2HgH2 after structural relaxation (GGA-PBEsol).

E_tot   -1.810 eV per atom
Total magnetization   0.0 μB per formula unit

Geometry as POSCAR:
```
Rb2HgH2
1.0
3.493 0.000 0.000
0.000 8.513 0.000
0.000 0.000 8.513
Rb Hg H
4 2 4
direct
0.000 0.642 0.142
0.000 0.858 0.642
0.000 0.142 0.358
0.000 0.358 0.858
0.000 0.500 0.500
0.000 0.000 0.000
0.500 0.851 0.351
0.500 0.649 0.851
0.500 0.149 0.649
0.500 0.351 0.149
```


# 16
Entry from the Alexandria database: SrHgHRu2 after structural relaxation (GGA-PBEsol).

E_tot   -2.601 eV per atom
Total magnetization   4.1 μB per formula unit

Geometry as POSCAR:
```
SrHgHRu2
1.0
4.920 0.000 0.000
0.000 4.920 0.000
0.000 0.000 5.931
Sr Ru H Hg
1 2 1 1
direct
0.000 0.000 0.000
0.000 0.500 0.000
0.500 0.000 0.000
0.500 0.500 0.500
0.000 0.000 0.500
```


# 17
Entry from the Alexandria database: HgSbH2 after structural relaxation (GGA-PBEsol).

E_tot   -2.437 eV per atom
Total magnetization   0.0 μB per formula unit

Geometry as POSCAR:
```
HgSbH2
1.0
6.183 0.000 0.000
3.092 5.355 0.000
3.092 1.785 5.049
Hg Sb H
2 2 4
direct
0.500 0.500 0.500
0.750 0.750 0.750
0.000 0.000 0.000
0.250 0.250 0.250
0.625 0.125 0.125
0.125 0.625 0.125
0.125 0.125 0.625
0.125 0.125 0.125
```


# 18
Entry from the Alexandria database: TiHgSb2H after structural relaxation (GGA-PBEsol).

E_tot   -2.854 eV per atom
Total magnetization   1.2 μB per formula unit

Geometry as POSCAR:
```
TiHgSb2H
1.0
-2.133 2.926 3.904
-3.039 -4.208 1.493
3.905 -1.630 3.356
H Ti Sb Hg
1 1 2 1
direct
0.500 0.500 0.500
0.500 0.000 0.000
0.000 0.000 0.500
0.000 0.500 0.000
0.000 0.000 0.000
```


# 19
Entry from the Alexandria database: Sc3HgH after structural relaxation (GGA-PBEsol).

E_tot   -5.139 eV per atom
ΔE to the lowest computed polymorph   0.000 eV/atom
Total magnetization   1.5 μB per formula unit

Geometry as POSCAR:
```
Sc3HgH
1.0
4.401 0.000 0.000
0.000 4.401 0.000
0.000 0.000 4.401
Hg H Sc
1 1 3
direct
0.500 0.500 0.500
0.000 0.000 0.000
0.500 0.000 0.000
0.000 0.000 0.500
0.000 0.500 0.000
```


# 20
Entry from the Alexandria database: SiHg3H after structural relaxation (GGA-PBEsol).

E_tot   -1.561 eV per atom
Total magnetization   0.0 μB per formula unit

Geometry as POSCAR:
```
SiHg3H
1.0
4.475 0.000 0.000
0.000 4.475 0.000
0.000 0.000 4.475
Si H Hg
1 1 3
direct
0.500 0.500 0.500
0.000 0.000 0.000
0.000 0.000 0.500
0.000 0.500 0.000
0.500 0.000 0.000
```